8
Lattice="2.305 1.331 10.728 -2.305 1.331 10.728 0.000 -2.662 10.728" Properties=species:S:1:pos:R:3 comment="GGA+U GdCoSeO, optimized geometry" e_above_lowest_polymorph_mev_per_atom=27 pbc="T T T"
Gd 0.000 0.000 7.328
Gd 0.000 0.000 24.855
Co 0.000 0.000 11.225
Co 0.000 0.000 20.958
Se 0.000 0.000 4.130
Se 0.000 0.000 28.053
O 0.000 0.000 9.377
O 0.000 0.000 22.806